(1)
The following is a PBE calculation of a relaxed ScAs3Pt crystal, from Alexandria.

a = 4.9083 Å, b = 4.9083 Å, c = 4.9083 Å
α = 90.00°, β = 90.00°, γ = 90.00°
Fractional coordinates of all 5 atoms:
As  0.0000  0.5000  0.0000
As  0.5000  0.0000  0.0000
As  0.0000  0.0000  0.5000
Pt  0.0000  0.0000  0.0000
Sc  0.5000  0.5000  0.5000

The total magnetization comes out at 0.00 μB per formula unit. The formation energy comes out at 1.1 eV/f.u. As for the volume: 23.650 A^3/atom.



(2)
The following is a PBE calculation of a relaxed K3CaPt crystal, from Alexandria.

a = 6.2874 Å, b = 6.2874 Å, c = 6.2874 Å
α = 90.00°, β = 90.00°, γ = 90.00°
Fractional coordinates of all 5 atoms:
Pt  0.0000  0.0000  0.0000
K  0.0000  0.0000  0.5000
K  0.5000  0.0000  0.0000
K  0.0000  0.5000  0.0000
Ca  0.5000  0.5000  0.5000

The total magnetization comes out at 0.02 μB per formula unit. The formation energy comes out at 1.2 eV/f.u. As for the volume: 49.710 A^3/atom.



(3)
The following is a PBE calculation of a relaxed ScAg2Bi2 crystal, from Alexandria.

a = 7.6753 Å, b = 7.6753 Å, c = 4.1466 Å
α = 90.00°, β = 90.00°, γ = 90.00°
Fractional coordinates of all 10 atoms:
Bi  0.1805  0.6805  0.5000
Bi  0.3195  0.1805  0.5000
Bi  0.8195  0.3195  0.5000
Bi  0.6805  0.8195  0.5000
Ag  0.3745  0.8745  0.0000
Ag  0.1255  0.3745  0.0000
Ag  0.6255  0.1255  0.0000
Ag  0.8745  0.6255  0.0000
Sc  0.0000  0.0000  0.0000
Sc  0.5000  0.5000  0.0000

The total magnetization comes out at 0.00 μB per formula unit. The formation energy comes out at -0.3 eV/f.u. As for the volume: 24.428 A^3/atom.



(4)
The following is a PBE calculation of a relaxed Ba8SbRh2 crystal, from Alexandria.

a = 7.9663 Å, b = 9.4760 Å, c = 9.4739 Å
α = 119.97°, β = 90.04°, γ = 89.92°
Fractional coordinates of all 11 atoms:
Ba  0.2554  0.1699  0.8301
Ba  0.2449  0.6670  0.3333
Ba  0.2555  0.1703  0.3400
Ba  0.2555  0.6599  0.8299
Ba  0.7445  0.8297  0.6600
Ba  0.7445  0.3401  0.1701
Ba  0.7446  0.8301  0.1699
Ba  0.7551  0.3330  0.6667
Rh  0.1122  0.3335  0.6666
Rh  0.8878  0.6665  0.3333
Sb  0.0000  0.0000  0.0000

Its formation energy without anion corrections is -0.135 eV/atom. The total magnetization comes out at 0.00 μB per formula unit. As for the volume: 56.320 A^3/atom.



(5)
The following is a PBE calculation of a relaxed FeRh2W crystal, from Alexandria.

a = 4.6921 Å, b = 4.6921 Å, c = 4.6843 Å
α = 79.65°, β = 79.65°, γ = 34.10°
Site moments in Bohr magnetons follow the coordinates.
Fractional coordinates of all 4 atoms:
Fe  0.7489  0.7489  0.7668  2.60
Rh  0.2507  0.2507  0.2661  0.16
Rh  0.0018  0.0018  0.9791  0.20
W  0.4986  0.4986  0.4881  -0.15

The total magnetization comes out at 2.77 μB per formula unit. The formation energy comes out at -0.1 eV/f.u. As for the volume: 14.197 A^3/atom.



(6)
The following is a PBE calculation of a relaxed PaSnPbN crystal, from Alexandria.

a = 4.2143 Å, b = 4.2143 Å, c = 10.7919 Å
α = 90.00°, β = 90.00°, γ = 90.00°
Fractional coordinates of all 8 atoms:
Pb  0.0000  0.0000  0.5000
Pb  0.5000  0.5000  0.5000
N  0.5000  0.5000  0.0000
N  0.0000  0.0000  0.0000
Sn  0.5000  0.0000  0.7448
Sn  0.0000  0.5000  0.2552
Pa  0.0000  0.5000  0.9056
Pa  0.5000  0.0000  0.0944

Its formation energy without anion corrections is -0.606 eV/atom. The total magnetization comes out at 0.00 μB per formula unit. As for the volume: 23.958 A^3/atom.